(1)
# TbInSn3

Crystalline TbInSn3 at its relaxed geometry (PBE, the Alexandria database).

Cell and atoms, written as POSCAR:
```
TbInSn3
1.0
-0.589 -8.303 -0.773
5.713 -0.665 2.791
-4.650 -0.544 9.387
Sn Tb In
12 4 4
Cartesian
-3.913 -2.450 7.742 Sn
1.778 -6.759 2.387 Sn
-1.304 -2.754 9.017 Sn
-3.198 -6.991 8.539 Sn
-0.858 -6.502 3.866 Sn
1.332 -3.011 7.538 Sn
4.387 -7.063 3.662 Sn
3.672 -2.522 2.865 Sn
-0.533 -6.838 7.099 Sn
1.007 -2.675 4.305 Sn
2.076 -7.142 8.374 Sn
-1.602 -2.371 3.031 Sn
-1.577 -3.977 5.941 Tb
-0.474 -8.632 9.894 Tb
2.051 -5.535 5.463 Tb
0.948 -0.880 1.511 Tb
1.747 -8.728 5.324 In
0.800 -4.055 1.057 In
-0.326 -5.458 10.348 In
-1.274 -0.785 6.080 In
```

## Properties
size of the total moment	0.00	μB per formula unit
ΔE to the lowest computed polymorph	73	meV per atom


(2)
# Tb5InSn2

Crystalline Tb5InSn2 at its relaxed geometry (PBE, the Alexandria database).

Cell and atoms, written as POSCAR:
```
Tb5InSn2
1.0
-4.704 4.499 2.155
1.439 -1.612 6.507
4.892 1.912 -4.222
Tb Sn In
5 2 1
Cartesian
4.614 1.641 1.192 Tb
2.261 3.891 2.269 Tb
1.542 4.697 -0.985 Tb
3.894 2.447 -2.062 Tb
-0.186 2.934 4.380 Tb
-0.904 3.741 1.126 Sn
2.168 0.685 3.302 Sn
1.448 1.491 0.049 In
```

## Properties
size of the total moment	0.00	μB per formula unit


(3)
# Tb2InSn

Crystalline Tb2InSn at its relaxed geometry (PBE, the Alexandria database).

Cell and atoms, written as POSCAR:
```
Tb2InSn
1.0
4.318 0.000 0.000
0.000 6.175 -0.122
0.000 -3.241 8.561
Tb Sn In
4 2 2
Cartesian
1.080 4.530 0.515 Tb
3.239 -1.596 7.924 Tb
3.239 -0.006 3.680 Tb
1.080 2.940 4.759 Tb
3.239 3.198 2.439 Sn
1.080 -0.264 6.000 Sn
3.239 1.621 6.731 In
1.080 1.313 1.709 In
```

## Properties
size of the total moment	0.00	μB per formula unit


(4)
# Tb2InSn

Crystalline Tb2InSn at its relaxed geometry (PBE, the Alexandria database).

Cell and atoms, written as POSCAR:
```
Tb2InSn
1.0
4.364 0.000 0.000
0.000 4.951 0.000
0.000 0.000 4.951
Sn Tb In
1 2 1
Cartesian
2.182 0.000 0.000 Sn
0.000 0.000 2.476 Tb
0.000 2.476 0.000 Tb
2.182 2.476 2.476 In
```

## Properties
size of the total moment	0.00	μB per formula unit


no.,DOS at the Fermi energy (states/eV per atom),ΔE_f (eV per formula unit)
1,0.55,-1.121
2,1.14,-3.665
3,0.84,-2.456
4,0.72,-2.261